Entry 1:
Below is a relaxed AlAsSe2 crystal, with properties calculated at the PBE level.

Cell lengths 3.568, 3.568, 8.846 Å; angles 90.00, 90.00, 90.00 degrees
Space group P4mm (No. 99)
Symmetry-distinct sites (fractional):
1 Al 0.000 0.000 0.000 [1 per cell]
2 As 0.500 0.500 0.618 [1 per cell]
3 Se 0.000 0.000 0.712 [1 per cell]
4 Se 0.500 0.500 0.076 [1 per cell]

## Properties
Total DFT energy (no corrections) = -3.9921 eV per atom

Entry 2:
Below is a relaxed Cs2CaAuI6 crystal, with properties calculated at the PBE level.

Cell lengths 8.398, 8.398, 13.224 Å; angles 90.00, 90.00, 90.00 degrees
Space group I4/mmm (No. 139)
Symmetry-distinct sites (fractional):
1 Cs 0.000 0.500 0.250 [4 per cell]
2 Ca 0.000 0.000 0.000 [2 per cell]
3 Au 0.000 0.000 0.500 [2 per cell]
4 I 0.000 0.000 0.230 [4 per cell]
5 I 0.234 0.234 0.500 [8 per cell]

## Properties
Total DFT energy (no corrections) = -2.6755 eV per atom

Entry 3:
Below is a relaxed PaPPdO crystal, with properties calculated at the PBE level.

Cell lengths 3.877, 3.877, 8.162 Å; angles 90.00, 90.00, 90.00 degrees
Space group P4/nmm (No. 129, origin choice 2)
Symmetry-distinct sites (fractional):
1 Pa 0.250 0.250 0.167 [2 per cell]
2 P 0.250 0.250 0.694 [2 per cell]
3 Pd 0.250 0.750 0.500 [2 per cell]
4 O 0.250 0.750 0.000 [2 per cell]

## Properties
Total DFT energy (no corrections) = -8.1930 eV per atom

Entry 4:
Below is a relaxed Pm4NdS6 crystal, with properties calculated at the PBE level.

Cell lengths 3.960, 13.288, 20.347 Å; angles 90.00, 90.00, 90.00 degrees
Space group Cmcm (No. 63)
Symmetry-distinct sites (fractional):
1 Pm 0.000 0.091 0.128 [8 per cell]
2 Pm 0.000 0.361 0.040 [8 per cell]
3 Nd 0.000 0.154 0.750 [4 per cell]
4 S 0.000 0.000 0.000 [4 per cell]
5 S 0.000 0.192 0.250 [4 per cell]
6 S 0.000 0.269 0.590 [8 per cell]
7 S 0.000 0.449 0.168 [8 per cell]

## Properties
Total DFT energy (no corrections) = -6.4560 eV per atom

Entry 5:
Below is a relaxed RbYBeTl2 crystal, with properties calculated at the PBE level.

Cell lengths 5.084, 5.084, 5.579 Å; angles 90.00, 90.00, 90.00 degrees
Space group P4/mmm (No. 123)
Symmetry-distinct sites (fractional):
1 Rb 0.000 0.000 0.000 [1 per cell]
2 Y 0.500 0.500 0.000 [1 per cell]
3 Be 0.000 0.000 0.500 [1 per cell]
4 Tl 0.000 0.500 0.500 [2 per cell]

## Properties
Formation enthalpy at 0 K = 562 meV per atom

Entry 6:
Below is a relaxed SrTa2Cd crystal, with properties calculated at the PBE level.

Cell lengths 2.846, 5.268, 6.036 Å; angles 90.00, 90.00, 90.00 degrees
Space group Pmmm (No. 47)
Symmetry-distinct sites (fractional):
1 Sr 0.000 0.000 0.000 [1 per cell]
2 Ta 0.500 0.500 0.251 [2 per cell]
3 Cd 0.000 0.000 0.500 [1 per cell]

## Properties
Formation enthalpy at 0 K = 902 meV per atom